{
  "formula": "SbPPd3",
  "functional": "PBE",
  "state": "relaxed",
  "dft_energy_ev_per_fu": -21.260,
  "lattice_angstrom": [[4.8986, 0.0000, 0.0000], [0.0000, 4.8986, 0.0000], [0.0000, 0.0000, 4.8986]],
  "species": ["Sb", "P", "Pd", "Pd", "Pd"],
  "fractional_positions": [[0.0000, 0.0000, 0.0000], [0.5000, 0.5000, 0.5000], [0.0000, 0.0000, 0.5000], [0.0000, 0.5000, 0.0000], [0.5000, 0.0000, 0.0000]]
}



{
  "formula": "SbPPd3",
  "functional": "PBE",
  "state": "relaxed",
  "dft_energy_ev_per_fu": -26.013,
  "lattice_angstrom": [[4.5600, 0.0000, 0.0000], [0.0000, 4.5600, 0.0000], [0.0000, 0.0000, 4.5600]],
  "species": ["Sb", "P", "Pd", "Pd", "Pd"],
  "fractional_positions": [[0.0000, 0.0000, 0.0000], [0.5000, 0.5000, 0.5000], [0.0000, 0.5000, 0.5000], [0.5000, 0.0000, 0.5000], [0.5000, 0.5000, 0.0000]]
}



Let's list ΔE_f (raw) in order: 770, -180 meV/atom.
Let's list energy relative to the lowest polymorph listed for this composition in order: 1162, 212 meV/atom.